# UInNiO6 | the Alexandria database | PBE with a Hubbard U | relaxed
data_UInNiO6
_symmetry_space_group_name_H-M 'P 1'
_symmetry_Int_Tables_number 1
_symmetry_space_group_name_Hall 'P 1'
_cell_length_a 5.4496
_cell_length_b 5.4496
_cell_length_c 8.9192
_cell_angle_alpha 90.00
_cell_angle_beta 90.00
_cell_angle_gamma 120.00
loop_
_atom_site_label
_atom_site_fract_x
_atom_site_fract_y
_atom_site_fract_z
O1 0.0171 0.3375 0.6252
O2 0.3375 0.0171 0.1252
O3 0.3204 0.3375 0.8748
O4 0.6625 0.9829 0.8748
O5 0.9829 0.6625 0.3748
O6 0.6796 0.0171 0.3748
O7 0.6625 0.6796 0.6252
O8 0.3375 0.3204 0.3748
O9 0.0171 0.6796 0.8748
O10 0.9829 0.3204 0.1252
O11 0.3204 0.9829 0.6252
O12 0.6796 0.6625 0.1252
In1 0.6667 0.3333 0.7500
In2 0.3333 0.6667 0.2500
U1 0.6667 0.3333 0.2500
U2 0.3333 0.6667 0.7500
Ni1 0.0000 0.0000 0.5000
Ni2 0.0000 0.0000 0.0000
# Crystal system: trigonal
# Total magnetization, Bohr magnetons per cell: 1.88
# Electronic total energy, eV per atom: -6.96